[1]
A relaxed structure of ErCo3Si2, computed with GGA-PBEsol.

a b c (Å): 6.158 6.158 6.158
angles (deg): 112.89 87.75 130.56
Sites, in units of the cell vectors:
Er1 0.466 0.216 0.250
Er2 0.534 0.784 0.750
Co1 0.000 0.000 0.500
Co2 0.000 0.223 0.223
Co3 0.000 0.500 0.000
Co4 0.000 0.777 0.777
Co5 0.500 0.223 0.723
Co6 0.500 0.777 0.277
Si1 0.123 0.704 0.419
Si2 0.214 0.296 0.919
Si3 0.786 0.704 0.081
Si4 0.877 0.296 0.581

## Properties
Final energy   -44.46 eV/f.u.
Formation energy without anion corrections   -0.805 eV per atom
SG   Imma
Mass density   8.54 g/cm3
Size of the total moment   0.00 μB per formula unit

---

[2]
A relaxed structure of ErCo9Si2, computed with GGA-PBEsol.

a b c (Å): 7.385 7.385 7.385
angles (deg): 100.04 100.04 130.64
Sites, in units of the cell vectors:
Er1 0.375 0.625 0.750
Er2 0.625 0.375 0.250
Co1 0.125 0.875 0.250
Co2 0.138 0.559 0.332
Co3 0.138 0.805 0.579
Co4 0.195 0.274 0.332
Co5 0.195 0.862 0.921
Co6 0.274 0.195 0.832
Co7 0.274 0.441 0.079
Co8 0.441 0.274 0.579
Co9 0.441 0.862 0.168
Co10 0.559 0.138 0.832
Co11 0.559 0.726 0.421
Co12 0.726 0.559 0.921
Co13 0.726 0.805 0.168
Co14 0.805 0.138 0.079
Co15 0.805 0.726 0.668
Co16 0.862 0.195 0.421
Co17 0.862 0.441 0.668
Co18 0.875 0.125 0.750
Si1 0.000 0.000 0.000
Si2 0.000 0.000 0.500
Si3 0.000 0.500 0.000
Si4 0.500 0.000 0.500

## Properties
Final energy   -90.41 eV/f.u.
Formation energy without anion corrections   -0.363 eV per atom
SG   I4_1/amd
Mass density   9.02 g/cm3
Size of the total moment   8.85 μB per formula unit